A plane-wave DFT calculation with PBE was carried out for GePIrN2 after structural relaxation.

abc: 4.1534 2.8426 5.4053
angles: 90.00 108.01 90.00
Element x y z (fractional)
Ge 0.0000 0.0000 0.0000
P 0.6659 0.5000 0.3769
Ir 0.5276 0.5000 0.7400
N 0.3369 0.5000 0.0846
N 0.8818 0.0000 0.3312

Computed properties:
Raw formation energy, meV/atom: -48
M_tot, Bohr magnetons per cell: 0.00
DFT total energy, Ry per atom: -0.52594
Space group: No. 6